# Lu2ZrIn3Ir2

Crystalline Lu2ZrIn3Ir2 at its relaxed geometry (PBE-GGA, OQMD).

The symmetry is Amm2, No. 38.

Cell: 3.427 13.079 7.659 Å, 90.00 90.00 90.00°
Fractional positions:
Lu 0.000 0.210 0.000
Lu 0.000 0.290 0.500
Lu 0.000 0.710 0.500
Lu 0.000 0.790 0.000
Zr 0.000 0.000 0.364
Zr 0.000 0.500 0.864
In 0.500 0.000 0.024
In 0.500 0.115 0.670
In 0.500 0.385 0.170
In 0.500 0.500 0.524
In 0.500 0.615 0.170
In 0.500 0.885 0.670
Ir 0.500 0.162 0.292
Ir 0.500 0.338 0.792
Ir 0.500 0.662 0.792
Ir 0.500 0.838 0.292

# LuZr2In3Ir2

Crystalline LuZr2In3Ir2 at its relaxed geometry (PBE-GGA, OQMD).

The symmetry is Amm2, No. 38.

Cell: 3.342 13.229 7.561 Å, 90.00 90.00 90.00°
Fractional positions:
Lu 0.000 0.000 0.000
Lu 0.000 0.500 0.500
Zr 0.000 0.212 0.369
Zr 0.000 0.288 0.869
Zr 0.000 0.712 0.869
Zr 0.000 0.788 0.369
In 0.500 0.000 0.350
In 0.500 0.117 0.695
In 0.500 0.383 0.195
In 0.500 0.500 0.850
In 0.500 0.617 0.195
In 0.500 0.883 0.695
Ir 0.500 0.170 0.082
Ir 0.500 0.330 0.582
Ir 0.500 0.670 0.582
Ir 0.500 0.830 0.082

# MgInIr2

Crystalline MgInIr2 at its relaxed geometry (PBE-GGA, OQMD).

The symmetry is P6_3/mmc, No. 194.

Cell: 4.533 4.533 8.105 Å, 90.00 90.00 120.00°
Fractional positions:
Mg 0.333 0.667 0.250
Mg 0.667 0.333 0.750
In 0.000 0.000 0.000
In 0.000 0.000 0.500
Ir 0.333 0.667 0.594
Ir 0.333 0.667 0.906
Ir 0.667 0.333 0.094
Ir 0.667 0.333 0.406

# MgInIr2

Crystalline MgInIr2 at its relaxed geometry (PBE-GGA, OQMD).

The symmetry is P4/mmm, No. 123.

Cell: 4.492 4.492 3.207 Å, 90.00 90.00 90.00°
Fractional positions:
Mg 0.000 0.000 0.000
In 0.500 0.500 0.000
Ir 0.000 0.500 0.500
Ir 0.500 0.000 0.500

# MgInIr2

Crystalline MgInIr2 at its relaxed geometry (PBE-GGA, OQMD).

The symmetry is Fm-3m, No. 225.

Cell: 6.371 6.371 6.371 Å, 90.00 90.00 90.00°
Fractional positions:
Mg 0.000 0.000 0.000
Mg 0.000 0.500 0.500
Mg 0.500 0.000 0.500
Mg 0.500 0.500 0.000
In 0.000 0.000 0.500
In 0.000 0.500 0.000
In 0.500 0.000 0.000
In 0.500 0.500 0.500
Ir 0.250 0.250 0.250
Ir 0.250 0.250 0.750
Ir 0.250 0.750 0.250
Ir 0.250 0.750 0.750
Ir 0.750 0.250 0.250
Ir 0.750 0.250 0.750
Ir 0.750 0.750 0.250
Ir 0.750 0.750 0.750

# MgIn4Ir

Crystalline MgIn4Ir at its relaxed geometry (PBE-GGA, OQMD).

The symmetry is I4/mcm, No. 140.

Cell: 7.367 7.367 7.367 Å, 123.69 123.69 83.72°
Fractional positions:
Mg 0.000 0.000 0.000
Mg 0.500 0.500 0.000
In 0.016 0.516 0.815
In 0.201 0.016 0.500
In 0.299 0.799 0.815
In 0.484 0.299 0.500
In 0.516 0.701 0.500
In 0.701 0.201 0.185
In 0.799 0.984 0.500
In 0.984 0.484 0.185
Ir 0.250 0.250 0.000
Ir 0.750 0.750 0.000

# MgInIr2

Crystalline MgInIr2 at its relaxed geometry (PBE-GGA, OQMD).

The symmetry is P4/mmm, No. 123.

Cell: 4.488 4.488 3.210 Å, 90.00 90.00 90.00°
Fractional positions:
Mg 0.000 0.000 0.000
In 0.500 0.500 0.000
Ir 0.000 0.500 0.500
Ir 0.500 0.000 0.500

# MgInIr2

Crystalline MgInIr2 at its relaxed geometry (PBE-GGA, OQMD).

The symmetry is P6_3/mmc, No. 194.

Cell: 4.591 4.591 7.896 Å, 90.00 90.00 120.00°
Fractional positions:
Mg 0.000 0.000 0.250
Mg 0.000 0.000 0.750
In 0.333 0.667 0.250
In 0.667 0.333 0.750
Ir 0.333 0.667 0.589
Ir 0.333 0.667 0.911
Ir 0.667 0.333 0.089
Ir 0.667 0.333 0.411

# MgInIr2

Crystalline MgInIr2 at its relaxed geometry (PBE-GGA, OQMD).

The symmetry is P6_3/mmc, No. 194.

Cell: 4.495 4.495 8.123 Å, 90.00 90.00 120.00°
Fractional positions:
Mg 0.000 0.000 0.000
Mg 0.000 0.000 0.500
In 0.333 0.667 0.250
In 0.667 0.333 0.750
Ir 0.333 0.667 0.596
Ir 0.333 0.667 0.904
Ir 0.667 0.333 0.096
Ir 0.667 0.333 0.404

# Na2Mg2In2NiIr

Crystalline Na2Mg2In2NiIr at its relaxed geometry (PBE-GGA, OQMD).

The symmetry is P-4m2, No. 115.

Cell: 4.700 4.700 6.607 Å, 90.00 90.00 90.00°
Fractional positions:
Na 0.000 0.000 0.000
Na 0.500 0.500 0.500
Mg 0.000 0.500 0.246
Mg 0.500 0.000 0.754
In 0.000 0.500 0.747
In 0.500 0.000 0.253
Ni 0.000 0.000 0.500
Ir 0.500 0.500 0.000

# Na2Mg2In2IrPd

Crystalline Na2Mg2In2IrPd at its relaxed geometry (PBE-GGA, OQMD).

The symmetry is P-4m2, No. 115.

Cell: 4.738 4.738 6.677 Å, 90.00 90.00 90.00°
Fractional positions:
Na 0.000 0.000 0.000
Na 0.500 0.500 0.500
Mg 0.000 0.500 0.243
Mg 0.500 0.000 0.757
In 0.000 0.500 0.757
In 0.500 0.000 0.243
Ir 0.500 0.500 0.000
Pd 0.000 0.000 0.500

# Na2Mg2In2IrPt

Crystalline Na2Mg2In2IrPt at its relaxed geometry (PBE-GGA, OQMD).

The symmetry is P-4m2, No. 115.

Cell: 4.718 4.718 6.677 Å, 90.00 90.00 90.00°
Fractional positions:
Na 0.000 0.000 0.000
Na 0.500 0.500 0.500
Mg 0.000 0.500 0.247
Mg 0.500 0.000 0.753
In 0.000 0.500 0.756
In 0.500 0.000 0.244
Ir 0.500 0.500 0.000
Pt 0.000 0.000 0.500

no.,total energy (eV/cell)
1,-97.29
2,-105.02
3,-44.69
4,-22.99
5,-92.09
6,-44.73
7,-22.99
8,-41.85
9,-44.81
10,-26.04
11,-26.98
12,-28.27